# PBE Zn2Pt3Au, relaxed
data_Zn2Pt3Au
_cell_length_a 2.889
_cell_length_b 2.889
_cell_length_c 11.022
_cell_angle_alpha 90.00
_cell_angle_beta 90.00
_cell_angle_gamma 90.00
_symmetry_space_group_name_H-M 'P 4/m m m'
_symmetry_Int_Tables_number 123
_symmetry_space_group_name_Hall '-P 4 2'
loop_
_atom_site_label
_atom_site_fract_x
_atom_site_fract_y
_atom_site_fract_z
Zn1 0.000 0.000 0.159
Pt1 0.500 0.500 0.000
Pt2 0.500 0.500 0.313
Au1 0.000 0.000 0.500
# * E: -26.2 eV/f.u.
# * energy of formation from the pure elements: -375.7 meV/atom